# 1
PBE CaAc6In2, relaxed; ΔE_f = -0.182 eV/atom; energy = -3.75 eV per atom
1.0
7.0590 -2.0263 0.0000
7.0590 2.0263 0.0000
-4.0623 0.0000 12.4690
Ca Ac In
1 6 2
direct
0.0000 0.0000 0.0000
0.0300 0.0300 0.3324
0.3113 0.3113 0.4063
0.3185 0.3185 0.1234
0.6815 0.6815 0.8766
0.6887 0.6887 0.5937
0.9700 0.9700 0.6676
0.3578 0.3578 0.8143
0.6422 0.6422 0.1857

# 2
PBE MoAs2RhSe, relaxed; energy relative to the lowest polymorph listed for this composition = 0 meV per atom; energy = -5.41 eV per atom; raw formation energy = 17.954 kcal/mol of atoms
1.0
4.8405 0.0000 0.0000
0.0000 4.8405 0.0000
0.0000 0.0000 4.7989
Mo As Rh Se
1 2 1 1
direct
0.0000 0.0000 0.0000
0.0000 0.5000 0.0000
0.5000 0.0000 0.0000
0.5000 0.5000 0.5000
0.0000 0.0000 0.5000

# 3
PBE Ac4PBr5, relaxed; energy = -4.68 eV per atom; raw formation energy = -38.197 kcal/mol of atoms
1.0
9.8218 -2.1724 0.0000
9.8218 2.1724 0.0000
-2.2744 0.0000 8.7748
Ac P Br
4 1 5
direct
0.0009 0.0009 0.2772
0.3471 0.3471 0.4112
0.6529 0.6529 0.5888
0.9991 0.9991 0.7228
0.5000 0.5000 0.5000
0.1658 0.1658 0.8457
0.1717 0.1717 0.3396
0.5000 0.5000 0.0000
0.8283 0.8283 0.6604
0.8342 0.8342 0.1543

Number 1: size of the total moment 0.000 μB per cell. Number 2: size of the total moment 0.000 μB per cell. Number 3: size of the total moment 0.000 μB per cell.